Entry i
This record from Alexandria describes a relaxed Y2Ti2As crystal. The functional is PBE-GGA.

a b c (Å): 4.1941 4.1941 13.5468
angles (deg): 90.00 90.00 90.00
Closest atoms and distances in Å follow each position.
Space group I4/mmm (No. 139)
Inequivalent atoms, fractional coordinates:
Y 0.0000 0.5000 0.2500 (multiplicity 4)  4 Y 2.97, 4 Ti 3.16
Ti 0.0000 0.0000 0.0751 (multiplicity 4)  1 Ti 2.04
As 0.0000 0.0000 0.5000 (multiplicity 2)  8 Ti 3.14


Entry ii
This record from Alexandria describes a relaxed Y2Ti2As crystal. The functional is PBE-GGA.

a b c (Å): 6.9336 6.9336 4.6759
angles (deg): 90.00 90.00 90.00
Closest atoms and distances in Å follow each position.
Space group P4/mbm (No. 127)
Inequivalent atoms, fractional coordinates:
Y 0.1629 0.3371 0.0000 (multiplicity 4)  6 Ti 3.03-3.15, 1 Y 3.19
Ti 0.1400 0.6400 0.5000 (multiplicity 4)  2 As 2.68, 1 Ti 2.75
As 0.0000 0.0000 0.5000 (multiplicity 2)  4 Ti 2.68


Energies relative to the most stable structure are entry i 0.837; entry ii 0.000, reported in eV/atom.


Entry i
This record from Alexandria describes a relaxed YTiAs3 crystal. The functional is PBE-GGA.

a b c (Å): 5.2921 5.2921 5.2921
angles (deg): 90.00 90.00 90.00
Closest atoms and distances in Å follow each position.
Space group Pm-3m (No. 221)
Inequivalent atoms, fractional coordinates:
Y 0.0000 0.0000 0.0000 (multiplicity 1)  6 As 2.65
Ti 0.5000 0.5000 0.5000 (multiplicity 1)  12 As 3.74
As 0.0000 0.0000 0.5000 (multiplicity 3)  2 Y 2.65


Entry ii
This record from Alexandria describes a relaxed YTiAs3 crystal. The functional is PBE-GGA.

a b c (Å): 4.8805 4.8805 4.8805
angles (deg): 90.00 90.00 90.00
Closest atoms and distances in Å follow each position.
Space group Pm-3m (No. 221)
Inequivalent atoms, fractional coordinates:
Y 0.0000 0.0000 0.0000 (multiplicity 1)  12 As 3.45
Ti 0.5000 0.5000 0.5000 (multiplicity 1)  6 As 2.44
As 0.0000 0.5000 0.5000 (multiplicity 3)  2 Ti 2.44


Energies relative to the most stable structure are entry i 1.119; entry ii 0.000, reported in eV/atom.


Entry i
This record from Alexandria describes a relaxed Ti2ZnAs crystal. The functional is PBE-GGA.

a b c (Å): 6.3212 6.3212 6.3212
angles (deg): 90.00 90.00 90.00
Closest atoms and distances in Å follow each position.
Space group Fm-3m (No. 225)
Inequivalent atoms, fractional coordinates:
Ti 0.2500 0.2500 0.2500 (multiplicity 8)  4 As 2.74, 4 Zn 2.74
Zn 0.0000 0.0000 0.0000 (multiplicity 4)  8 Ti 2.74
As 0.0000 0.0000 0.5000 (multiplicity 4)  8 Ti 2.74


Entry ii
This record from Alexandria describes a relaxed Ti2ZnAs crystal. The functional is PBE-GGA.

a b c (Å): 6.9984 6.9984 5.5457
angles (deg): 90.00 90.00 90.00
Closest atoms and distances in Å follow each position.
Space group I-42d (No. 122)
Inequivalent atoms, fractional coordinates:
Ti 0.2408 0.2500 0.1250 (multiplicity 8)  2 As 2.53, 2 Zn 2.61, 2 Ti 2.78
Zn 0.0000 0.0000 0.5000 (multiplicity 4)  4 Ti 2.61, 2 As 2.77
As 0.0000 0.0000 0.0000 (multiplicity 4)  4 Ti 2.53, 2 Zn 2.77


Energies relative to the most stable structure are entry i 0.000; entry ii 0.048, reported in eV/atom.


Entry i
This record from Alexandria describes a relaxed Zr2TiAs2 crystal. The functional is PBE-GGA.

a b c (Å): 3.7775 15.8104 6.7088
angles (deg): 90.00 90.00 90.00
Closest atoms and distances in Å follow each position.
Space group Cmc2_1 (No. 36)
Inequivalent atoms, fractional coordinates:
Zr 0.0000 0.0349 0.0000 (multiplicity 4)  5 As 2.77-2.83, 2 Ti 3.07
Zr 0.0000 0.1861 0.3802 (multiplicity 4)  5 As 2.72-2.87, 2 Ti 3.04
Ti 0.0000 0.3957 0.1790 (multiplicity 4)  4 As 2.51-2.72
As 0.0000 0.1941 0.8071 (multiplicity 4)  2 Ti 2.51, 2 Zr 2.72
As 0.0000 0.4399 0.7962 (multiplicity 4)  2 Ti 2.66-2.72, 6 Zr 2.77-2.80


Entry ii
This record from Alexandria describes a relaxed Zr2TiAs2 crystal. The functional is PBE-GGA.

a b c (Å): 7.0263 7.0263 3.7497
angles (deg): 90.00 90.00 90.00
Closest atoms and distances in Å follow each position.
Space group P4/mbm (No. 127)
Inequivalent atoms, fractional coordinates:
Zr 0.1605 0.3395 0.0000 (multiplicity 4)  6 As 2.69-2.85
Ti 0.0000 0.0000 0.5000 (multiplicity 2)  4 As 2.69
As 0.1449 0.6449 0.5000 (multiplicity 4)  6 Zr 2.69-2.85, 2 Ti 2.69, 1 As 2.88


Energies relative to the most stable structure are entry i 0.091; entry ii 0.000, reported in eV/atom.


Entry i
This record from Alexandria describes a relaxed ZrTi3As crystal. The functional is PBE-GGA.

a b c (Å): 4.7133 4.7133 4.7133
angles (deg): 90.00 90.00 90.00
Closest atoms and distances in Å follow each position.
Space group Pm-3m (No. 221)
Inequivalent atoms, fractional coordinates:
Zr 0.0000 0.0000 0.0000 (multiplicity 1)  12 Ti 3.33
Ti 0.0000 0.5000 0.5000 (multiplicity 3)  2 As 2.36
As 0.5000 0.5000 0.5000 (multiplicity 1)  6 Ti 2.36


Entry ii
This record from Alexandria describes a relaxed ZrTi3As crystal. The functional is PBE-GGA.

a b c (Å): 4.8099 4.8099 4.8099
angles (deg): 90.00 90.00 90.00
Closest atoms and distances in Å follow each position.
Space group Pm-3m (No. 221)
Inequivalent atoms, fractional coordinates:
Zr 0.0000 0.0000 0.0000 (multiplicity 1)  6 Ti 2.40
Ti 0.0000 0.0000 0.5000 (multiplicity 3)  2 Zr 2.40
As 0.5000 0.5000 0.5000 (multiplicity 1)  12 Ti 3.40


Entry iii
This record from Alexandria describes a relaxed ZrTi3As crystal. The functional is PBE-GGA.

a b c (Å): 8.7273 3.4902 11.8584
angles (deg): 90.00 90.00 90.00
Closest atoms and distances in Å follow each position.
Space group Pnma (No. 62)
Inequivalent atoms, fractional coordinates:
Zr 0.1641 0.2500 0.0041 (multiplicity 4)  2 As 2.81, 4 Ti 3.05-3.11
Ti 0.0664 0.2500 0.4149 (multiplicity 4)  3 As 2.61-2.63, 5 Ti 2.73-2.91
Ti 0.0812 0.7500 0.2229 (multiplicity 4)  2 As 2.61-2.67, 6 Ti 2.80-2.92
Ti 0.1681 0.7500 0.7934 (multiplicity 4)  2 As 2.63, 5 Ti 2.73-2.92
As 0.1481 0.2500 0.6285 (multiplicity 4)  7 Ti 2.61-2.67, 2 Zr 2.81


Energies relative to the most stable structure are entry i 0.555; entry ii 1.633; entry iii 0.000, reported in eV/atom.


Entry i
This record from Alexandria describes a relaxed ZrTi3As2 crystal. The functional is PBE-GGA.

a b c (Å): 3.7380 3.7380 14.6246
angles (deg): 90.00 90.00 90.00
Closest atoms and distances in Å follow each position.
Space group I4mm (No. 107)
Inequivalent atoms, fractional coordinates:
Zr 0.0000 0.0000 0.0000 (multiplicity 2)  5 As 2.73-2.74
Ti 0.0000 0.0000 0.6422 (multiplicity 2)  5 As 2.72-2.79
Ti 0.0000 0.5000 0.3172 (multiplicity 4)  4 Ti 2.64, 4 As 2.68-2.71
As 0.0000 0.0000 0.1864 (multiplicity 2)  8 Ti 2.68-2.72, 1 Zr 2.73
As 0.0000 0.0000 0.4512 (multiplicity 2)  5 Ti 2.71-2.79, 4 Zr 2.74


Entry ii
This record from Alexandria describes a relaxed ZrTi3As2 crystal. The functional is PBE-GGA.

a b c (Å): 15.7696 3.5689 8.2197
angles (deg): 90.00 115.98 90.00
Closest atoms and distances in Å follow each position.
Space group C2/m (No. 12)
Inequivalent atoms, fractional coordinates:
Zr 0.1131 0.0000 0.1218 (multiplicity 4)  6 As 2.76-2.88
Ti 0.0515 0.0000 0.6561 (multiplicity 4)  1 Ti 2.36, 2 As 2.55
Ti 0.1576 0.5000 0.4758 (multiplicity 4)  4 As 2.61-2.80
Ti 0.1840 0.5000 0.8955 (multiplicity 4)  4 As 2.59-2.79, 4 Ti 2.71-2.80
As 0.0075 0.5000 0.8268 (multiplicity 4)  4 Ti 2.55-2.70, 2 Zr 2.77
As 0.2388 0.0000 0.7278 (multiplicity 4)  7 Ti 2.61-2.80, 2 Zr 2.76


Energies relative to the most stable structure are entry i 0.000; entry ii 0.136, reported in eV/atom.


Entry i
This record from Alexandria describes a relaxed TlAs4 crystal. The functional is PBE-GGA.

a b c (Å): 5.2706 5.2706 5.2706
angles (deg): 90.00 90.00 90.00
Closest atoms and distances in Å follow each position.
Space group Pm-3m (No. 221)
Inequivalent atoms, fractional coordinates:
Tl 0.0000 0.0000 0.0000 (multiplicity 1)  6 As 2.64
As 0.0000 0.0000 0.5000 (multiplicity 3)  2 Tl 2.64
As 0.5000 0.5000 0.5000 (multiplicity 1)  12 As 3.73


Entry ii
This record from Alexandria describes a relaxed TlAs4 crystal. The functional is PBE-GGA.

a b c (Å): 6.4361 6.4361 6.4361
angles (deg): 90.00 90.00 90.00
Closest atoms and distances in Å follow each position.
Space group Im-3m (No. 229)
Inequivalent atoms, fractional coordinates:
Tl 0.0000 0.0000 0.0000 (multiplicity 2)  8 As 2.79
As 0.2500 0.2500 0.2500 (multiplicity 8)  2 Tl 2.79


Entry iii
This record from Alexandria describes a relaxed TlAs4 crystal. The functional is PBE-GGA.

a b c (Å): 7.7270 7.7270 4.4616
angles (deg): 90.00 90.00 90.00
Closest atoms and distances in Å follow each position.
Space group I4/m (No. 87)
Inequivalent atoms, fractional coordinates:
Tl 0.0000 0.0000 0.0000 (multiplicity 2)  12 As 3.40-3.64
As 0.0819 0.3638 0.5000 (multiplicity 8)  1 As 2.46


Energies relative to the most stable structure are entry i 1.088; entry ii 0.517; entry iii 0.000, reported in eV/atom.


Entry i
This record from Alexandria describes a relaxed TlAs5 crystal. The functional is PBE-GGA.

a b c (Å): 3.9108 12.2251 5.7016
angles (deg): 90.00 90.00 90.00
Closest atoms and distances in Å follow each position.
Space group Cmmm (No. 65)
Inequivalent atoms, fractional coordinates:
Tl 0.0000 0.0000 0.0000 (multiplicity 2)  6 As 2.85-2.99
As 0.0000 0.0000 0.5000 (multiplicity 2)  2 Tl 2.85, 4 As 2.86
As 0.0000 0.3152 0.0000 (multiplicity 4)  2 As 2.52
As 0.0000 0.3296 0.5000 (multiplicity 4)  6 As 2.76-2.86


Entry ii
This record from Alexandria describes a relaxed TlAs5 crystal. The functional is PBE-GGA.

a b c (Å): 3.5576 3.5576 10.6726
angles (deg): 90.00 90.00 90.00
Closest atoms and distances in Å follow each position.
Space group P4/mmm (No. 123)
Inequivalent atoms, fractional coordinates:
Tl 0.0000 0.0000 0.0000 (multiplicity 1)  10 As 3.51-3.53, 4 Tl 3.56
As 0.0000 0.0000 0.3291 (multiplicity 2)  4 As 2.72
As 0.5000 0.5000 0.2317 (multiplicity 2)  5 As 2.72-2.86
As 0.5000 0.5000 0.5000 (multiplicity 1)  10 As 2.86-3.11


Energies relative to the most stable structure are entry i 0.000; entry ii 0.130, reported in eV/atom.


Entry i
This record from Alexandria describes a relaxed TlAs5 crystal. The functional is PBE-GGA.

a b c (Å): 11.5107 3.5472 8.0246
angles (deg): 90.00 111.76 90.00
Closest atoms and distances in Å follow each position.
Space group Cm (No. 8)
Inequivalent atoms, fractional coordinates:
Tl 0.0000 0.0000 0.0000 (multiplicity 2)  8 As 3.32-3.66, 2 Tl 3.55
As 0.1142 0.5000 0.7249 (multiplicity 2)  2 As 2.49
As 0.2525 0.5000 0.4075 (multiplicity 2)  3 As 2.49-2.64
As 0.2631 0.0000 0.7130 (multiplicity 2)  2 As 2.49
As 0.3092 0.0000 0.2067 (multiplicity 2)  4 As 2.64-2.70
As 0.4726 0.5000 0.4249 (multiplicity 2)  3 As 2.49-2.70


Entry ii
This record from Alexandria describes a relaxed TlAs5 crystal. The functional is PBE-GGA.

a b c (Å): 6.7670 6.7670 3.5501
angles (deg): 90.00 90.00 120.00
Closest atoms and distances in Å follow each position.
Space group P-62m (No. 189)
Inequivalent atoms, fractional coordinates:
Tl 0.0000 0.0000 0.0000 (multiplicity 1)  6 As 3.28, 2 Tl 3.55
As 0.0000 0.4080 0.5000 (multiplicity 3)  4 As 2.71
As 0.3333 0.6667 0.0000 (multiplicity 2)  6 As 2.71


Energies relative to the most stable structure are entry i 0.000; entry ii 0.055, reported in eV/atom.


Entry i
This record from Alexandria describes a relaxed Tl5As crystal. The functional is PBE-GGA.

a b c (Å): 7.3764 7.3764 13.8710
angles (deg): 90.00 90.00 90.00
Closest atoms and distances in Å follow each position.
Space group I4/mcm (No. 140)
Inequivalent atoms, fractional coordinates:
Tl 0.0000 0.0000 0.0000 (multiplicity 4)  8 Tl 3.42, 2 As 3.47
Tl 0.1570 0.3430 0.1430 (multiplicity 16)  2 As 3.15, 3 Tl 3.27-3.42
As 0.0000 0.0000 0.2500 (multiplicity 4)  10 Tl 3.15-3.47


Entry ii
This record from Alexandria describes a relaxed Tl5As crystal. The functional is PBE-GGA.

a b c (Å): 12.2407 4.1541 7.2547
angles (deg): 90.00 105.70 90.00
Closest atoms and distances in Å follow each position.
Space group Cm (No. 8)
Inequivalent atoms, fractional coordinates:
Tl 0.0000 0.0000 0.0000 (multiplicity 2)  2 As 3.13, 3 Tl 3.29-3.39
Tl 0.0149 0.0000 0.4602 (multiplicity 2)  8 Tl 3.29-3.65, 2 As 3.30
Tl 0.1917 0.5000 0.8393 (multiplicity 2)  2 As 3.30, 8 Tl 3.30-3.65
Tl 0.2071 0.5000 0.3004 (multiplicity 2)  2 As 3.13, 3 Tl 3.30-3.39
Tl 0.3536 0.0000 0.6505 (multiplicity 2)  8 Tl 3.39-3.40, 2 As 3.62-3.64
As 0.3532 0.0000 0.1492 (multiplicity 2)  8 Tl 3.13-3.30


Entry iii
This record from Alexandria describes a relaxed Tl5As crystal. The functional is PBE-GGA.

a b c (Å): 6.2148 6.2148 5.9254
angles (deg): 90.00 90.00 120.00
Closest atoms and distances in Å follow each position.
Space group P6/mmm (No. 191)
Inequivalent atoms, fractional coordinates:
Tl 0.0000 0.5000 0.0000 (multiplicity 3)  8 Tl 3.11-3.46
Tl 0.3333 0.6667 0.5000 (multiplicity 2)  9 Tl 3.46-3.59, 3 As 3.59
As 0.0000 0.0000 0.5000 (multiplicity 1)  6 Tl 3.59


Energies relative to the most stable structure are entry i 0.008; entry ii 0.000; entry iii 0.289, reported in eV/atom.


Entry i
This record from Alexandria describes a relaxed Tl4As crystal. The functional is PBE-GGA.

a b c (Å): 6.6747 6.9089 6.8543
angles (deg): 90.00 91.56 90.00
Closest atoms and distances in Å follow each position.
Space group P2/c (No. 13)
Inequivalent atoms, fractional coordinates:
Tl 0.2313 0.0695 0.4233 (multiplicity 4)  2 As 3.10-3.11, 1 Tl 3.43
Tl 0.2339 0.4280 0.0692 (multiplicity 4)  2 As 3.08-3.11, 1 Tl 3.39
As 0.5000 0.2512 0.7500 (multiplicity 2)  8 Tl 3.08-3.11


Entry ii
This record from Alexandria describes a relaxed Tl4As crystal. The functional is PBE-GGA.

a b c (Å): 12.6334 3.7015 8.9228
angles (deg): 90.00 134.79 90.00
Closest atoms and distances in Å follow each position.
Space group C2/m (No. 12)
Inequivalent atoms, fractional coordinates:
Tl 0.0793 0.0000 0.3519 (multiplicity 4)  2 As 3.14
Tl 0.2299 0.5000 0.8099 (multiplicity 4)  2 As 3.13
As 0.0000 0.5000 0.0000 (multiplicity 2)  8 Tl 3.13-3.14


Entry iii
This record from Alexandria describes a relaxed Tl4As crystal. The functional is PBE-GGA.

a b c (Å): 7.0249 7.0249 7.0249
angles (deg): 90.00 90.00 90.00
Closest atoms and distances in Å follow each position.
Space group Im-3m (No. 229)
Inequivalent atoms, fractional coordinates:
Tl 0.2500 0.2500 0.2500 (multiplicity 8)  2 As 3.04
As 0.0000 0.0000 0.0000 (multiplicity 2)  8 Tl 3.04


Energies relative to the most stable structure are entry i 0.000; entry ii 0.013; entry iii 0.180, reported in eV/atom.